Density functional theory data (GGA+U) for a relaxed KV2IO8 crystal.

## Properties
**SG**: C2/m (12)
**VASP energy**: -6.18 eV per atom

Geometry as POSCAR:
```
KV2IO8
1.0
5.394 -0.129 -0.033
2.374 4.845 -0.033
0.307 0.186 8.016
O V I K
8 2 1 1
direct
0.731 0.221 0.813
0.701 0.701 0.395
0.225 0.225 0.951
0.775 0.775 0.049
0.269 0.779 0.187
0.221 0.731 0.813
0.299 0.299 0.605
0.779 0.269 0.187
0.366 0.366 0.793
0.634 0.634 0.207
0.000 0.000 0.000
0.000 0.000 0.500
```